Entry 1:
This record from Alexandria via LeMat-Bulk describes crystalline Pm2ZnGa6Ag at its relaxed geometry. The functional is PBE-GGA.

abc: 6.3868 6.3868 36.3424
angles: 90.00 90.00 120.00
Space group R-3m (No. 166, hexagonal axes)
Unique sites:
Pm 0.0000 0.0000 0.1102
Pm 0.0000 0.0000 0.2947
Zn 0.0000 0.0000 0.4295
Ga 0.0490 0.5245 0.2925
Ga 0.0724 0.5362 0.8726
Ag 0.0000 0.0000 0.0000
Ag 0.0000 0.0000 0.5000

Values from the calculation:
- ΔH_f (0 K) (eV/atom) = -0.24

Entry 2:
This record from Alexandria via LeMat-Bulk describes crystalline Pm2Zn4GaAg3 at its relaxed geometry. The functional is PBE-GGA.

abc: 4.210 4.210 11.478
angles: 90.00 90.00 90.00
Space group P-4m2 (No. 115)
Unique sites:
Pm 0.000 0.500 0.242
Zn 0.000 0.000 0.500
Zn 0.000 0.500 0.864
Zn 0.500 0.500 0.500
Ga 0.500 0.500 0.000
Ag 0.000 0.000 0.000
Ag 0.000 0.500 0.642

Values from the calculation:
- ΔH_f (0 K) (eV/atom) = -0.27